1.
Ta2TlCo2, optimized geometry, DFT GGA-PBE; ΔE_f = 0.3 eV per formula unit; symmetry = P4/mbm, No. 127; theoretical density = 14.43 g/cm3; VASP energy = -80.0 eV for the cell shown
1.0
7.1199 0.0000 0.0000
0.0000 7.1199 0.0000
0.0000 0.0000 3.1060
Ta Tl Co
4 2 4
direct
0.1616 0.3384 0.0000
0.3384 0.8384 0.0000
0.6616 0.1616 0.0000
0.8384 0.6616 0.0000
0.0000 0.0000 0.5000
0.5000 0.5000 0.5000
0.1269 0.6269 0.5000
0.3731 0.1269 0.5000
0.6269 0.8731 0.5000
0.8731 0.3731 0.5000

2.
Ni2RuBr, optimized geometry, DFT GGA-PBE; energy relative to the lowest polymorph listed for this composition = 266 meV/atom; symmetry = Imm2, No. 44; theoretical density = 8.89 g/cm3; VASP energy = -19.5 eV for the cell shown; formation energy (no corrections) = 72 kJ per mole of atoms
1.0
-1.4762 2.0996 4.4961
1.4762 -2.0996 4.4961
1.4762 2.0996 -4.4961
Ni Ru Br
2 1 1
direct
0.0000 0.0000 0.0000
0.7351 0.2351 0.5000
0.2759 0.7759 0.5000
0.5017 0.5017 0.0000

3.
Li2B13, optimized geometry, DFT GGA-PBE; ΔE_f = 6.1 eV per formula unit; symmetry = R-3m, No. 166; theoretical density = 2.11 g/cm3; VASP energy = -84.5 eV for the cell shown
1.0
2.3712 1.3690 6.2331
-2.3712 1.3690 6.2331
0.0000 -2.7380 6.2331
Li B
2 13
direct
0.2103 0.2103 0.2103
0.7897 0.7897 0.7897
0.1399 0.4889 0.4889
0.1515 0.7895 0.7895
0.2105 0.2105 0.8485
0.2105 0.8485 0.2105
0.4889 0.1399 0.4889
0.4889 0.4889 0.1399
0.5000 0.5000 0.5000
0.5111 0.5111 0.8601
0.5111 0.8601 0.5111
0.7895 0.1515 0.7895
0.7895 0.7895 0.1515
0.8485 0.2105 0.2105
0.8601 0.5111 0.5111

4.
GaPdPt6, optimized geometry, DFT GGA-PBE; ΔE_f = 1.9 eV per formula unit; energy relative to the lowest polymorph listed for this composition = 464 meV/atom; symmetry = R-3m, No. 166; theoretical density = 13.86 g/cm3; VASP energy = -42.5 eV for the cell shown
1.0
2.6417 1.5252 6.6737
-2.6417 1.5252 6.6737
0.0000 -3.0503 6.6737
Ga Pd Pt
1 1 6
direct
0.0000 0.0000 0.0000
0.5000 0.5000 0.5000
0.0691 0.0691 0.5630
0.0691 0.5630 0.0691
0.4370 0.9309 0.9309
0.5630 0.0691 0.0691
0.9309 0.4370 0.9309
0.9309 0.9309 0.4370

5.
TaCrRh, optimized geometry, DFT GGA-PBE; ΔE_f = -0.2 eV per formula unit; energy relative to the lowest polymorph listed for this composition = 0 meV/atom; symmetry = I4mm, No. 107; theoretical density = 12.61 g/cm3; VASP energy = -29.0 eV for the cell shown
1.0
-1.3778 1.3778 5.8250
1.3778 -1.3778 5.8250
1.3778 1.3778 -5.8250
Ta Cr Rh
1 1 1
direct
0.0000 0.0000 0.0000
0.3244 0.3244 0.0000
0.6833 0.6833 0.0000

6.
BeGaP2, optimized geometry, DFT GGA-PBE; ΔE_f = -0.7 eV per formula unit; energy relative to the lowest polymorph listed for this composition = 0 meV/atom; symmetry = I-42d, No. 122; theoretical density = 3.30 g/cm3; VASP energy = -36.5 eV for the cell shown
1.0
-2.5429 2.5429 5.4766
2.5429 -2.5429 5.4766
2.5429 2.5429 -5.4766
Be Ga P
2 2 4
direct
0.0000 0.0000 0.0000
0.7500 0.2500 0.5000
0.2500 0.7500 0.5000
0.5000 0.5000 0.0000
0.0882 0.6250 0.9632
0.3750 0.3382 0.4632
0.6618 0.1250 0.0368
0.8750 0.9118 0.5368

7.
LiFeSn, optimized geometry, DFT GGA-PBE; ΔE_f = -0.1 eV per formula unit; symmetry = C2/m, No. 12; theoretical density = 5.99 g/cm3; VASP energy = -29.0 eV for the cell shown
1.0
7.6423 -1.5324 0.0000
7.6423 1.5324 0.0000
-0.1094 0.0000 4.2986
Li Fe Sn
2 2 2
direct
0.0592 0.0592 0.2553
0.9408 0.9408 0.7447
0.2694 0.2694 0.7299
0.7306 0.7306 0.2701
0.3776 0.3776 0.2392
0.6224 0.6224 0.7608

8.
ThSbH6Ru2, optimized geometry, DFT GGA-PBE; symmetry = C2/c, No. 15; theoretical density = 8.78 g/cm3; VASP energy = -104.1 eV for the cell shown
1.0
3.6650 -5.8617 0.0000
3.6650 5.8617 0.0000
-1.1074 0.0000 4.9503
Th Sb H Ru
2 2 12 4
direct
0.1780 0.8220 0.7500
0.8220 0.1780 0.2500
0.4257 0.5743 0.2500
0.5743 0.4257 0.7500
0.0558 0.6425 0.1192
0.1051 0.1196 0.5168
0.1196 0.1051 0.0168
0.1345 0.4623 0.5837
0.3575 0.9442 0.3808
0.4623 0.1345 0.0837
0.5377 0.8655 0.9163
0.6425 0.0558 0.6192
0.8655 0.5377 0.4163
0.8804 0.8949 0.9832
0.8949 0.8804 0.4832
0.9442 0.3575 0.8808
0.1373 0.2968 0.8069
0.2968 0.1373 0.3069
0.7032 0.8627 0.6931
0.8627 0.7032 0.1931

9.
Er3OsO7, optimized geometry, DFT GGA-PBE; symmetry = C222_1, No. 20; theoretical density = 9.32 g/cm3; VASP energy = -180.8 eV for the cell shown; formation energy (no corrections) = -270 kJ per mole of atoms
1.0
3.7312 -5.2181 0.0000
3.7312 5.2181 0.0000
0.0000 0.0000 7.3542
Er Os O
6 2 14
direct
0.0239 0.0239 0.0000
0.0340 0.5000 0.2544
0.5000 0.0340 0.7456
0.5000 0.9660 0.2456
0.9660 0.5000 0.7544
0.9761 0.9761 0.5000
0.4996 0.4996 0.0000
0.5004 0.5004 0.5000
0.1309 0.8691 0.7500
0.1380 0.8620 0.2500
0.1732 0.4190 0.9736
0.1847 0.4369 0.5350
0.4190 0.1732 0.0264
0.4262 0.5738 0.2500
0.4369 0.1847 0.4650
0.5631 0.8153 0.9650
0.5738 0.4262 0.7500
0.5810 0.8268 0.5264
0.8153 0.5631 0.0350
0.8268 0.5810 0.4736
0.8620 0.1380 0.7500
0.8691 0.1309 0.2500

10.
SnRh2, optimized geometry, DFT GGA-PBE; ΔE_f = 0.0 eV per formula unit; symmetry = P6_3/mmc, No. 194; theoretical density = 10.62 g/cm3; VASP energy = -37.4 eV for the cell shown
1.0
3.0782 0.0000 0.0000
-1.5391 2.6658 0.0000
0.0000 0.0000 12.3652
Sn Rh
2 4
direct
0.0000 0.0000 0.2500
0.0000 0.0000 0.7500
0.3333 0.6667 0.0887
0.3333 0.6667 0.4113
0.6667 0.3333 0.5887
0.6667 0.3333 0.9113

11.
PuAl4Ge2, optimized geometry, DFT GGA-PBE; ΔE_f = -1.0 eV per formula unit; energy relative to the lowest polymorph listed for this composition = 0 meV/atom; symmetry = P4_2/mnm, No. 136; theoretical density = 6.34 g/cm3; VASP energy = -79.0 eV for the cell shown
1.0
7.9715 0.0000 0.0000
0.0000 7.9715 0.0000
0.0000 0.0000 4.0986
Pu Al Ge
2 8 4
direct
0.0000 0.0000 0.0000
0.5000 0.5000 0.5000
0.0885 0.3464 0.5000
0.1536 0.5885 0.0000
0.3464 0.0885 0.5000
0.4115 0.8464 0.0000
0.5885 0.1536 0.0000
0.6536 0.9115 0.5000
0.8464 0.4115 0.0000
0.9115 0.6536 0.5000
0.2083 0.7917 0.5000
0.2917 0.2917 0.0000
0.7083 0.7083 0.0000
0.7917 0.2083 0.5000

12.
ScSi2OsAu, optimized geometry, DFT GGA-PBE; symmetry = P4/mmm, No. 123; theoretical density = 7.15 g/cm3; VASP energy = -23.0 eV for the cell shown; formation energy (no corrections) = 168 kJ per mole of atoms
1.0
4.8160 0.0000 0.0000
0.0000 4.8160 0.0000
0.0000 0.0000 4.8871
Sc Si Os Au
1 2 1 1
direct
0.0000 0.0000 0.0000
0.0000 0.5000 0.0000
0.5000 0.0000 0.0000
0.5000 0.5000 0.5000
0.0000 0.0000 0.5000

13.
BaNi2PbCl8, optimized geometry, DFT GGA-PBE; symmetry = P-3m1, No. 164; theoretical density = 3.09 g/cm3; VASP energy = -44.7 eV for the cell shown; formation energy (no corrections) = -102 kJ per mole of atoms
1.0
7.1550 0.0000 0.0000
-3.5775 6.1964 0.0000
0.0000 0.0000 9.0293
Ba Ni Pb Cl
1 2 1 8
direct
0.0000 0.0000 0.0000
0.3333 0.6667 0.1779
0.6667 0.3333 0.8221
0.0000 0.0000 0.5000
0.1658 0.3315 0.2747
0.1658 0.8342 0.2747
0.3315 0.1658 0.7253
0.3333 0.6667 0.9379
0.6667 0.3333 0.0621
0.6685 0.8342 0.2747
0.8342 0.1658 0.7253
0.8342 0.6685 0.7253

14.
CaLaMg2Au4, optimized geometry, DFT GGA-PBE; ΔE_f = -5.7 eV per formula unit; symmetry = R-3m, No. 166; theoretical density = 9.20 g/cm3; VASP energy = -29.0 eV for the cell shown
1.0
2.3789 1.3735 9.3505
-2.3789 1.3735 9.3505
0.0000 -2.7469 9.3505
Ca La Mg Au
1 1 2 4
direct
0.0000 0.0000 0.0000
0.5000 0.5000 0.5000
0.2545 0.2545 0.2545
0.7455 0.7455 0.7455
0.1081 0.1081 0.1081
0.3876 0.3876 0.3876
0.6124 0.6124 0.6124
0.8919 0.8919 0.8919

15.
BaReAu, optimized geometry, DFT GGA-PBE; ΔE_f = 2.9 eV per formula unit; energy relative to the lowest polymorph listed for this composition = 186 meV/atom; symmetry = P-6m2, No. 187; theoretical density = 12.26 g/cm3; VASP energy = -14.7 eV for the cell shown
1.0
5.0678 0.0000 0.0000
-2.5339 4.3889 0.0000
0.0000 0.0000 3.1709
Ba Re Au
1 1 1
direct
0.0000 0.0000 0.0000
0.6667 0.3333 0.5000
0.3333 0.6667 0.5000

16.
TlWSN2, optimized geometry, DFT GGA-PBE; energy relative to the lowest polymorph listed for this composition = 2449 meV/atom; symmetry = P4/mmm, No. 123; theoretical density = 8.57 g/cm3; VASP energy = -22.8 eV for the cell shown; formation energy (no corrections) = 257 kJ per mole of atoms
1.0
4.1021 0.0000 0.0000
0.0000 4.1021 0.0000
0.0000 0.0000 5.1629
Tl W S N
1 1 1 2
direct
0.0000 0.0000 0.0000
0.5000 0.5000 0.5000
0.0000 0.0000 0.5000
0.0000 0.5000 0.0000
0.5000 0.0000 0.0000

17.
SbPtW2, optimized geometry, DFT GGA-PBE; symmetry = Immm, No. 71; theoretical density = 16.50 g/cm3; VASP energy = -34.5 eV for the cell shown; formation energy (no corrections) = 38 kJ per mole of atoms
1.0
-1.6846 2.2463 4.5515
1.6846 -2.2463 4.5515
1.6846 2.2463 -4.5515
Sb Pt W
1 1 2
direct
0.0000 0.0000 0.0000
0.5000 0.5000 0.0000
0.2381 0.7381 0.5000
0.7619 0.2619 0.5000

18.
LiSe3, optimized geometry, DFT GGA-PBE; energy relative to the lowest polymorph listed for this composition = 65 meV/atom; symmetry = I4/mmm, No. 139; theoretical density = 4.72 g/cm3; VASP energy = -13.9 eV for the cell shown; formation energy (no corrections) = -36 kJ per mole of atoms
1.0
-1.9652 1.9652 5.5570
1.9652 -1.9652 5.5570
1.9652 1.9652 -5.5570
Li Se
1 3
direct
0.0000 0.0000 0.0000
0.2616 0.2616 0.0000
0.5000 0.5000 0.0000
0.7384 0.7384 0.0000

19.
Hg2Te2Br, optimized geometry, DFT GGA-PBE; energy relative to the lowest polymorph listed for this composition = 60 meV/atom; symmetry = P4/mbm, No. 127; theoretical density = 8.52 g/cm3; VASP energy = -16.2 eV for the cell shown; formation energy (no corrections) = 9 kJ per mole of atoms
1.0
8.4167 0.0000 0.0000
0.0000 8.4167 0.0000
0.0000 0.0000 4.0519
Hg Te Br
4 4 2
direct
0.1439 0.3561 0.0000
0.3561 0.8561 0.0000
0.6439 0.1439 0.0000
0.8561 0.6439 0.0000
0.1647 0.6647 0.5000
0.3353 0.1647 0.5000
0.6647 0.8353 0.5000
0.8353 0.3353 0.5000
0.0000 0.0000 0.5000
0.5000 0.5000 0.5000